(1)
## Np2SbPt2 (PBE)

Data for a relaxed structure of Np2SbPt2. Values from VASP.

Calculated values
Formation energy from raw total energies: -2.64 eV/f.u.
Symmetry: P4/mbm (127)
ρ: 14.69 Mg/m³
N(E_F): 38.36 states/eV per cell
E_tot: -44.73 eV per formula unit

```
&SYSTEM
  ibrav = 0, nat = 10, ntyp = 3
/
ATOMIC_SPECIES
Np 237.00 Np.upf
Sb 121.76 Sb.upf
Pt 195.08 Pt.upf
ATOMIC_POSITIONS angstrom
Np 0.0000 1.3551 1.3551
Np 0.0000 6.3604 6.3604
Np 0.0000 2.5027 5.2129
Np 0.0000 5.2129 2.5027
Sb 1.8716 0.0000 3.8578
Sb 1.8716 3.8578 0.0000
Pt 1.8716 4.8395 4.8395
Pt 1.8716 6.7339 0.9817
Pt 1.8716 2.8761 2.8761
Pt 1.8716 0.9817 6.7339
CELL_PARAMETERS angstrom
3.7432 0.0000 0.0000
0.0000 7.7156 0.0000
0.0000 0.0000 7.7156
```

(2)
## NpSbPt6 (PBE)

Data for a relaxed structure of NpSbPt6. Values from VASP.

Calculated values
Formation energy from raw total energies: -3.00 eV/f.u.
Symmetry: P4/mmm (123)
ρ: 18.12 Mg/m³
N(E_F): 14.02 states/eV per cell
E_tot: -56.31 eV per formula unit

```
&SYSTEM
  ibrav = 0, nat = 8, ntyp = 3
/
ATOMIC_SPECIES
Pt 195.08 Pt.upf
Np 237.00 Np.upf
Sb 121.76 Sb.upf
ATOMIC_POSITIONS angstrom
Pt 2.2028 1.5053 1.1884
Pt 1.9551 -1.3616 1.6888
Pt 0.3311 3.8289 5.2286
Pt 2.2446 1.9863 4.0529
Pt 0.0433 0.4993 2.8774
Pt 2.4907 4.8349 3.5396
Np 0.0000 0.0000 0.0000
Sb 0.2894 3.3479 2.3641
CELL_PARAMETERS angstrom
-0.2044 -2.3676 3.3778
4.1147 -0.3555 -0.0002
0.5788 6.6957 4.7282
```

(3)
## NpScPt2 (PBE)

Data for a relaxed structure of NpScPt2. Values from VASP.

Calculated values
Formation energy: -2.747 eV per formula unit
Symmetry: R-3m (166)
ρ: 12.83 Mg/m³
N(E_F): 10.76 states/eV per cell
E_tot: -34.10 eV per formula unit

```
&SYSTEM
  ibrav = 0, nat = 4, ntyp = 3
/
ATOMIC_SPECIES
Pt 195.08 Pt.upf
Sc 44.96 Sc.upf
Np 237.00 Np.upf
ATOMIC_POSITIONS angstrom
Pt -6.6195 -1.1110 -5.1159
Pt -2.0902 -0.4229 -1.7262
Sc 0.0000 0.0000 0.0000
Np -4.3549 -0.7670 -3.4210
CELL_PARAMETERS angstrom
-0.6588 0.1306 -4.0004
-1.7560 -3.1423 -1.8700
-6.2949 1.4778 -0.9717
```

(4)
## NpSc2Pt9 (PBE)

Data for a relaxed structure of NpSc2Pt9. Values from VASP.

Calculated values
Formation energy: -10.929 eV per formula unit
Symmetry: P4/mmm (123)
ρ: 17.28 Mg/m³
N(E_F): 18.61 states/eV per cell
E_tot: -90.90 eV per formula unit

```
&SYSTEM
  ibrav = 0, nat = 12, ntyp = 3
/
ATOMIC_SPECIES
Pt 195.08 Pt.upf
Sc 44.96 Sc.upf
Np 237.00 Np.upf
ATOMIC_POSITIONS angstrom
Pt 2.0261 0.0000 6.0949
Pt 0.0000 2.0261 10.0803
Pt 2.0261 0.0000 10.0803
Pt 2.0261 2.0261 8.0788
Pt 2.0261 2.0261 0.0000
Pt 2.0261 2.0261 4.1110
Pt 0.0000 2.0261 2.1095
Pt 0.0000 2.0261 6.0949
Pt 2.0261 0.0000 2.1095
Sc 0.0000 0.0000 8.0496
Sc 0.0000 0.0000 4.1402
Np 0.0000 0.0000 0.0000
CELL_PARAMETERS angstrom
4.0523 0.0000 0.0000
0.0000 4.0523 0.0000
0.0000 0.0000 12.1898
```

(5)
## NpScPt2 (PBE)

Data for a relaxed structure of NpScPt2. Values from VASP.

Calculated values
Formation energy: -3.258 eV per formula unit
Symmetry: P4/mmm (123)
ρ: 14.37 Mg/m³
N(E_F): 9.18 states/eV per cell
E_tot: -34.61 eV per formula unit

```
&SYSTEM
  ibrav = 0, nat = 4, ntyp = 3
/
ATOMIC_SPECIES
Np 237.00 Np.upf
Sc 44.96 Sc.upf
Pt 195.08 Pt.upf
ATOMIC_POSITIONS angstrom
Np 1.6364 1.6364 3.6267
Sc 1.6364 1.6364 0.0000
Pt 0.0000 0.0000 5.6614
Pt 0.0000 0.0000 1.5921
CELL_PARAMETERS angstrom
3.2728 0.0000 0.0000
0.0000 3.2728 0.0000
0.0000 0.0000 7.2535
```

(6)
## NpScPt (PBE)

Data for a relaxed structure of NpScPt. Values from VASP.

Calculated values
Formation energy: -0.871 eV per formula unit
Symmetry: P2_1/c (14)
ρ: 12.13 Mg/m³
N(E_F): 25.87 states/eV per cell
E_tot: -26.18 eV per formula unit

```
&SYSTEM
  ibrav = 0, nat = 12, ntyp = 3
/
ATOMIC_SPECIES
Sc 44.96 Sc.upf
Np 237.00 Np.upf
Pt 195.08 Pt.upf
ATOMIC_POSITIONS angstrom
Sc -2.7008 3.3100 4.9124
Sc 0.7403 0.2511 5.5470
Sc -0.2478 -3.5433 4.6342
Sc -3.6888 -0.4844 3.9996
Np -2.2000 -2.4400 1.6467
Np -1.7234 -1.6058 6.9715
Np -0.7486 2.2067 7.8998
Np -1.2252 1.3726 2.5751
Pt -1.9658 0.8728 5.7238
Pt 1.4777 0.6663 3.0128
Pt -0.9827 -1.1061 3.8228
Pt -4.4263 -0.8996 6.5337
CELL_PARAMETERS angstrom
-3.2431 4.4533 3.7945
-4.4630 -4.1738 1.0841
4.7575 -0.5128 4.6680
```